[1]
This record from Alexandria via LeMat-Bulk describes a relaxed Pr3Cu2Pd4 crystal. The functional is PBE.

Structure (POSCAR):
```
Pr3Cu2Pd4
1.0
5.427 -2.223 0.000
5.427 2.223 0.000
-2.946 0.000 8.107
Pr Cu Pd
3 2 4
Direct
0.000 0.000 0.000
0.336 0.336 0.329
0.664 0.664 0.671
0.385 0.385 0.714
0.615 0.615 0.286
0.062 0.062 0.387
0.284 0.284 0.935
0.716 0.716 0.065
0.938 0.938 0.613
```

[2]
This record from Alexandria via LeMat-Bulk describes a relaxed Sm2Zn3CuAu4 crystal. The functional is PBE.

Structure (POSCAR):
```
Sm2Zn3CuAu4
1.0
4.208 0.000 0.000
0.000 4.208 0.000
0.000 0.000 11.381
Sm Zn Cu Au
2 3 1 4
Direct
0.000 0.500 0.240
0.500 0.000 0.760
0.000 0.000 0.000
0.000 0.500 0.638
0.500 0.000 0.362
0.500 0.500 0.000
0.000 0.000 0.500
0.000 0.500 0.861
0.500 0.000 0.139
0.500 0.500 0.500
```

[3]
This record from Alexandria via LeMat-Bulk describes a relaxed SmEr5Pb4 crystal. The functional is PBE.

Structure (POSCAR):
```
SmEr5Pb4
1.0
8.927 -2.292 0.000
8.927 2.292 0.000
-1.565 0.000 7.721
Sm Er Pb
1 5 4
Direct
0.000 0.000 0.000
0.000 0.000 0.500
0.288 0.288 0.678
0.361 0.361 0.272
0.639 0.639 0.728
0.712 0.712 0.322
0.186 0.186 0.022
0.459 0.459 0.718
0.541 0.541 0.282
0.814 0.814 0.978
```

no.,DFT formation energy (eV/atom)
1,-0.60
2,-0.45
3,-0.22